DFT (PBE) results for crystalline Th2TcSe at its relaxed geometry.

Density of states at the Fermi level, states/eV per cell: 11.51
Crystal system: orthorhombic
Raw formation energy, eV/atom: -0.824
E above lowest polymorph, meV per atom: 0
Calculated volume, Å³ per atom: 26.260
Total energy, eV/atom: -7.9969
Magnetization, μB per formula unit: 0.000

Cell lengths 5.891, 5.891, 12.105 Å; angles 90.00, 90.00, 90.00 degrees
Space group Pmna (No. 53)
Inequivalent atoms, fractional coordinates:
Th 0.000 0.249 0.106 (multiplicity 4)
Th 0.000 0.251 0.644 (multiplicity 4)
Tc 0.000 0.251 0.875 (multiplicity 4)
Se 0.000 0.249 0.375 (multiplicity 4)